(1)
The following is a PBE-GGA calculation of a geometry-optimized HoErSc4 structure, from Alexandria via LeMat-Bulk.

Results
Formation energy (meV per atom): -10.3
Calculated volume (Å³/f.u.): 159.0
Symmetry: C2/c (15)
Excess energy over the best structure of this formula in the dataset (meV/atom): 0
Energy (eV/atom): -5.755

a b c (Å): 8.420 5.224 9.790
angles (deg): 90.00 105.34 128.34
Fractional positions:
Ho (0.375, 0.625, 0.250)
Ho (0.625, 0.375, 0.750)
Er (0.125, 0.875, 0.751)
Er (0.875, 0.125, 0.249)
Sc (0.958, 0.207, 0.915)
Sc (0.457, 0.708, 0.915)
Sc (0.290, 0.536, 0.582)
Sc (0.710, 0.464, 0.418)
Sc (0.208, 0.954, 0.418)
Sc (0.543, 0.292, 0.085)
Sc (0.792, 0.046, 0.582)
Sc (0.042, 0.793, 0.085)

(2)
The following is a PBE-GGA calculation of a geometry-optimized Ho2ErSc structure, from Alexandria via LeMat-Bulk.

Results
Formation energy (meV per atom): 42.2
Calculated volume (Å³/f.u.): 116.6
Symmetry: P4/mmm (123)
Excess energy over the best structure of this formula in the dataset (meV/atom): 14
Energy (eV/atom): -4.970

a b c (Å): 4.877 4.889 4.889
angles (deg): 90.00 90.00 90.00
Fractional positions:
Sc (0.500, 0.000, 0.000)
Ho (0.000, 0.000, 0.500)
Ho (0.000, 0.500, 0.000)
Er (0.500, 0.500, 0.500)

(3)
The following is a PBE-GGA calculation of a geometry-optimized Ho6Er4Sc structure, from Alexandria via LeMat-Bulk.

Results
Formation energy (meV per atom): 299.6
Calculated volume (Å³/f.u.): 350.3
Symmetry: I-42m (121)
Excess energy over the best structure of this formula in the dataset (meV/atom): 162
Energy (eV/atom): -4.432

a b c (Å): 6.447 6.447 9.582
angles (deg): 109.66 109.66 90.00
Fractional positions:
Ho (0.856, 0.485, 0.342)
Ho (0.485, 0.856, 0.342)
Ho (0.515, 0.515, 0.658)
Ho (0.000, 0.500, 0.000)
Ho (0.144, 0.144, 0.658)
Ho (0.500, 0.000, 0.000)
Er (0.047, 0.688, 0.734)
Er (0.953, 0.953, 0.266)
Er (0.688, 0.047, 0.734)
Er (0.312, 0.312, 0.266)
Sc (0.500, 0.500, 0.000)

(4)
The following is a PBE-GGA calculation of a geometry-optimized Ho2ErSc5 structure, from Alexandria via LeMat-Bulk.

Results
Formation energy (meV per atom): 20.4
Calculated volume (Å³/f.u.): 215.4
Symmetry: Fmm2 (42)
Excess energy over the best structure of this formula in the dataset (meV/atom): 0
Energy (eV/atom): -5.652

a b c (Å): 6.836 6.836 6.325
angles (deg): 105.68 105.68 119.99
Fractional positions:
Ho (0.242, 0.823, 0.509)
Ho (0.733, 0.314, 0.491)
Er (0.818, 0.738, 0.000)
Sc (0.235, 0.321, 0.500)
Sc (0.320, 0.732, 0.000)
Sc (0.824, 0.236, 0.000)
Sc (0.735, 0.821, 0.500)
Sc (0.316, 0.239, 0.000)

(5)
The following is a PBE-GGA calculation of a geometry-optimized Ho6Er12Sc structure, from Alexandria via LeMat-Bulk.

Results
Formation energy (meV per atom): 221.8
Calculated volume (Å³/f.u.): 603.0
Symmetry: R-3m (166)
Excess energy over the best structure of this formula in the dataset (meV/atom): 46
Energy (eV/atom): -4.439

a b c (Å): 8.548 8.548 8.548
angles (deg): 98.29 98.29 98.29
Fractional positions:
Ho (0.904, 0.338, 0.904)
Ho (0.904, 0.904, 0.338)
Ho (0.338, 0.904, 0.904)
Ho (0.096, 0.096, 0.662)
Ho (0.096, 0.662, 0.096)
Ho (0.662, 0.096, 0.096)
Er (0.757, 0.243, 0.500)
Er (0.354, 0.083, 0.354)
Er (0.354, 0.354, 0.083)
Er (0.917, 0.646, 0.646)
Er (0.646, 0.646, 0.917)
Er (0.646, 0.917, 0.646)
Er (0.500, 0.757, 0.243)
Er (0.243, 0.500, 0.757)
Er (0.243, 0.757, 0.500)
Er (0.500, 0.243, 0.757)
Er (0.757, 0.500, 0.243)
Er (0.083, 0.354, 0.354)
Sc (0.000, 0.000, 0.000)

(6)
The following is a PBE-GGA calculation of a geometry-optimized Ho8ErSc5 structure, from Alexandria via LeMat-Bulk.

Results
Formation energy (meV per atom): 262.7
Calculated volume (Å³/f.u.): 416.2
Symmetry: I-4 (82)
Energy (eV/atom): -4.940

a b c (Å): 8.153 8.153 8.153
angles (deg): 111.07 106.32 111.07
Fractional positions:
Ho (0.158, 0.737, 0.081)
Ho (0.919, 0.077, 0.656)
Ho (0.732, 0.256, 0.336)
Ho (0.664, 0.395, 0.919)
Ho (0.524, 0.605, 0.268)
Ho (0.578, 0.923, 0.842)
Ho (0.344, 0.263, 0.422)
Ho (0.081, 0.744, 0.476)
Er (0.250, 0.500, 0.750)
Sc (0.037, 0.313, 0.131)
Sc (0.869, 0.906, 0.182)
Sc (0.818, 0.687, 0.724)
Sc (0.500, 0.000, 0.500)
Sc (0.276, 0.094, 0.963)

(7)
The following is a PBE-GGA calculation of a geometry-optimized Ho12Er2Sc structure, from Alexandria via LeMat-Bulk.

Results
Formation energy (meV per atom): 135.5
Calculated volume (Å³/f.u.): 465.9
Symmetry: P2/m (10)
Energy (eV/atom): -4.557

a b c (Å): 6.471 6.471 25.264
angles (deg): 81.53 98.47 66.19
Fractional positions:
Ho (0.665, 0.335, 0.800)
Ho (0.165, 0.835, 0.800)
Ho (0.733, 0.767, 0.871)
Ho (0.327, 0.673, 0.938)
Ho (0.963, 0.037, 0.331)
Ho (0.173, 0.827, 0.062)
Ho (0.678, 0.322, 0.555)
Ho (0.463, 0.537, 0.331)
Ho (0.233, 0.267, 0.871)
Ho (0.767, 0.733, 0.129)
Ho (0.199, 0.301, 0.576)
Ho (0.822, 0.178, 0.445)
Ho (0.037, 0.963, 0.669)
Ho (0.301, 0.199, 0.424)
Ho (0.267, 0.233, 0.129)
Ho (0.801, 0.699, 0.424)
Ho (0.699, 0.801, 0.576)
Ho (0.835, 0.165, 0.200)
Ho (0.178, 0.822, 0.555)
Ho (0.537, 0.463, 0.669)
Ho (0.827, 0.173, 0.938)
Ho (0.335, 0.665, 0.200)
Ho (0.322, 0.678, 0.445)
Ho (0.673, 0.327, 0.062)
Er (0.411, 0.089, 0.277)
Er (0.911, 0.589, 0.277)
Er (0.089, 0.411, 0.723)
Er (0.589, 0.911, 0.723)
Sc (0.500, 0.000, 0.000)
Sc (0.000, 0.500, 0.000)

(8)
The following is a PBE-GGA calculation of a geometry-optimized Ho8Er3Sc structure, from Alexandria via LeMat-Bulk.

Results
Formation energy (meV per atom): 716.5
Calculated volume (Å³/f.u.): 434.3
Symmetry: I4/mmm (139)
Energy (eV/atom): -4.004

a b c (Å): 7.571 7.571 9.278
angles (deg): 114.08 114.08 90.00
Fractional positions:
Ho (0.877, 0.369, 0.246)
Ho (0.369, 0.369, 0.246)
Ho (0.123, 0.123, 0.754)
Ho (0.631, 0.123, 0.754)
Ho (0.369, 0.877, 0.246)
Ho (0.877, 0.877, 0.246)
Ho (0.631, 0.631, 0.754)
Ho (0.123, 0.631, 0.754)
Er (0.250, 0.750, 0.500)
Er (0.500, 0.500, 0.000)
Er (0.750, 0.250, 0.500)
Sc (0.000, 0.000, 0.000)

- energy of number 8 (Ho8Er3Sc)?
  -4.004 eV/atom

- Which of these has the highest calculated volume?
  Ho6Er12Sc